{"formula": "Ti3SiAg", "functional": "PBE-GGA", "state": "relaxed", "raw_formation_energy_mev_per_atom": 322, "de_polymorph_mev_per_atom": 0.0, "volume_a3_per_cell": 98.7, "lattice": [[4.6210, 0.0000, 0.0000], [0.0000, 4.6210, 0.0000], [0.0000, 0.0000, 4.6210]], "species": ["Si", "Ag", "Ti", "Ti", "Ti"], "fractional_positions": [[0.0000, 0.0000, 0.0000], [0.5000, 0.5000, 0.5000], [0.0000, 0.5000, 0.0000], [0.0000, 0.0000, 0.5000], [0.5000, 0.0000, 0.0000]]}

***

{"formula": "TiMo8", "functional": "PBE-GGA", "state": "relaxed", "formation_energy_ev_per_atom": -0.098, "volume_a3_per_cell": 142.4, "lattice": [[3.1627, 0.0000, 0.0000], [1.5813, 6.7096, 0.0000], [1.5813, 0.0000, 6.7096]], "species": ["Ti", "Mo", "Mo", "Mo", "Mo", "Mo", "Mo", "Mo", "Mo"], "fractional_positions": [[0.0000, 0.0000, 0.0000], [0.6684, 0.0000, 0.6633], [0.3316, 0.0000, 0.3367], [0.3326, 0.6674, 0.6674], [0.6684, 0.6633, 0.0000], [0.0000, 0.6674, 0.3326], [0.3316, 0.3367, 0.0000], [0.6674, 0.3326, 0.3326], [0.0000, 0.3326, 0.6674]]}

***

{"formula": "RePdRh", "functional": "PBE-GGA", "state": "relaxed", "formation_energy_ev_per_atom": -0.041, "de_polymorph_mev_per_atom": 0.0, "volume_a3_per_cell": 44.2, "lattice": [[2.7363, 0.0000, 0.0000], [0.0000, 2.7363, 0.0000], [-1.3682, -1.3682, 5.9054]], "species": ["Re", "Rh", "Pd"], "fractional_positions": [[0.6711, 0.6711, 0.3423], [0.3252, 0.3252, 0.6503], [0.0037, 0.0037, 0.0074]]}

***

{"formula": "Be2AsC2", "functional": "PBE-GGA", "state": "relaxed", "formation_energy_ev_per_atom": 1.003, "de_polymorph_mev_per_atom": 51.7, "volume_a3_per_cell": 48.8, "lattice": [[-1.4701, 0.8471, 2.1207], [1.1731, -1.8839, 1.5657], [4.6273, 3.7799, 3.4369]], "species": ["Be", "Be", "As", "C", "C"], "fractional_positions": [[0.3417, 0.3417, 0.3167], [0.6583, 0.6583, 0.6833], [0.0000, 0.0000, 0.0000], [0.7500, 0.2500, 0.5000], [0.2500, 0.7500, 0.5000]]}

***

{"formula": "EuDyInPd", "functional": "PBE-GGA", "state": "relaxed", "formation_energy_ev_per_atom": -0.509, "volume_a3_per_cell": 102.2, "lattice": [[5.2475, 0.0000, 0.0000], [2.6237, 4.5444, 0.0000], [2.6237, 1.5148, 4.2845]], "species": ["Eu", "In", "Pd", "Dy"], "fractional_positions": [[0.2500, 0.2500, 0.2500], [0.5000, 0.5000, 0.5000], [0.0000, 0.0000, 0.0000], [0.7500, 0.7500, 0.7500]]}

***

{"formula": "K2RbCdCl", "functional": "PBE-GGA", "state": "relaxed", "raw_formation_energy_mev_per_atom": -683, "volume_a3_per_cell": 240.2, "lattice": [[6.1151, 0.0000, 0.0000], [0.0000, 6.1151, 0.0000], [0.0000, 0.0000, 6.4224]], "species": ["K", "K", "Cl", "Rb", "Cd"], "fractional_positions": [[0.0000, 0.5000, 0.0000], [0.5000, 0.0000, 0.0000], [0.0000, 0.0000, 0.0000], [0.0000, 0.0000, 0.5000], [0.5000, 0.5000, 0.5000]]}

***

{"formula": "CaRe2BH", "functional": "PBE-GGA", "state": "relaxed", "total_energy_ev_per_atom": -6.443, "volume_a3_per_cell": 64.5, "lattice": [[3.8403, 0.0000, 0.0000], [0.0000, 3.8403, 0.0000], [0.0000, 0.0000, 4.3710]], "species": ["Re", "Re", "Ca", "B", "H"], "fractional_positions": [[0.0000, 0.5000, 0.0000], [0.5000, 0.0000, 0.0000], [0.0000, 0.0000, 0.5000], [0.5000, 0.5000, 0.5000], [0.0000, 0.0000, 0.0000]]}

***

{"formula": "Hf2MgPd", "functional": "PBE-GGA", "state": "relaxed", "formation_energy_ev_per_atom": 0.067, "volume_a3_per_cell": 84.0, "lattice": [[3.0268, 0.0000, 0.0000], [1.5134, 2.6213, 0.0000], [1.5134, 0.8738, 10.5882]], "species": ["Mg", "Hf", "Hf", "Pd"], "fractional_positions": [[0.0000, 0.0000, 0.0000], [0.0949, 0.0949, 0.7154], [0.9051, 0.9051, 0.2846], [0.5000, 0.5000, 0.5000]]}

***

{"formula": "CaLa4Ru2", "functional": "PBE-GGA", "state": "relaxed", "formation_energy_ev_per_atom": -0.175, "de_polymorph_mev_per_atom": 0.0, "volume_a3_per_cell": 433.0, "lattice": [[-1.0493, 3.4201, -6.0222], [0.8148, -7.7245, -4.5288], [-7.0615, 1.7128, 2.2030]], "species": ["Ru", "Ru", "Ru", "Ru", "Ca", "Ca", "La", "La", "La", "La", "La", "La", "La", "La"], "fractional_positions": [[0.2500, 0.3355, 0.9695], [0.7500, 0.6645, 0.0305], [0.7500, 0.3337, 0.4134], [0.2500, 0.6663, 0.5866], [0.2500, 0.7827, 0.0207], [0.7500, 0.2173, 0.9794], [0.4962, 0.4139, 0.7075], [0.2500, 0.2240, 0.2300], [0.7500, 0.7760, 0.7700], [0.0038, 0.4139, 0.7075], [0.7500, 0.0089, 0.3154], [0.9962, 0.5861, 0.2925], [0.5038, 0.5861, 0.2925], [0.2500, 0.9911, 0.6846]]}

***

{"formula": "NaPmZn2", "functional": "PBE-GGA", "state": "relaxed", "formation_energy_ev_per_atom": -0.110, "de_polymorph_mev_per_atom": 0.0, "volume_a3_per_cell": 91.1, "lattice": [[-1.7816, 4.6434, -0.8788], [-0.2560, 1.7533, -4.7294], [-4.4911, 0.6013, -2.2307]], "species": ["Na", "Zn", "Zn", "Pm"], "fractional_positions": [[0.5000, 0.5000, 0.5000], [0.2500, 0.2500, 0.2500], [0.7500, 0.7500, 0.7500], [0.0000, 0.0000, 0.0000]]}

***

{"formula": "Fe3Co5", "functional": "PBE-GGA", "state": "relaxed", "formation_energy_ev_per_atom": 0.024, "volume_a3_per_cell": 90.5, "lattice": [[7.9487, 0.0000, 0.0000], [0.0000, 2.4558, 0.0191], [0.0000, 0.8478, 4.6419]], "species": ["Co", "Co", "Co", "Co", "Co", "Fe", "Fe", "Fe"], "fractional_positions": [[0.0018, 0.0000, 0.0000], [0.7504, 0.2104, 0.2463], [0.5035, 0.5000, 0.5000], [0.9955, 0.5000, 0.5000], [0.7504, 0.7896, 0.7537], [0.2488, 0.7457, 0.7487], [0.5008, 0.0000, 0.0000], [0.2488, 0.2543, 0.2513]]}

***

{"formula": "La12Al3O5", "functional": "PBE-GGA", "state": "relaxed", "raw_formation_energy_mev_per_atom": -1471, "volume_a3_per_cell": 2184.2, "lattice": [[-2.2777, 13.0472, -5.0005], [-12.0282, -7.4434, -0.5821], [4.4115, 0.7964, 13.4285]], "species": ["Al", "Al", "Al", "Al", "Al", "Al", "Al", "Al", "Al", "Al", "Al", "Al", "O", "O", "O", "O", "O", "O", "O", "O", "O", "O", "O", "O", "O", "O", "O", "O", "O", "O", "O", "O", "La", "La", "La", "La", "La", "La", "La", "La", "La", "La", "La", "La", "La", "La", "La", "La", "La", "La", "La", "La", "La", "La", "La", "La", "La", "La", "La", "La", "La", "La", "La", "La", "La", "La", "La", "La", "La", "La", "La", "La", "La", "La", "La", "La", "La", "La", "La", "La"], "fractional_positions": [[0.7500, 0.3750, 0.1250], [0.8750, 0.7500, 0.1250], [0.3750, 0.7500, 0.6250], [0.2500, 0.1250, 0.3750], [0.8750, 0.1250, 0.2500], [0.3750, 0.6250, 0.2500], [0.6250, 0.3750, 0.7500], [0.1250, 0.8750, 0.7500], [0.7500, 0.8750, 0.6250], [0.6250, 0.2500, 0.3750], [0.1250, 0.2500, 0.8750], [0.2500, 0.6250, 0.8750], [0.1250, 0.3750, 0.2500], [0.0000, 0.5000, 0.0000], [0.0000, 0.0000, 0.0000], [0.3750, 0.2500, 0.1250], [0.5000, 0.0000, 0.5000], [0.5000, 0.5000, 0.0000], [0.1250, 0.7500, 0.3750], [0.7500, 0.1250, 0.8750], [0.7500, 0.6250, 0.3750], [0.3750, 0.1250, 0.7500], [0.6250, 0.8750, 0.2500], [0.5000, 0.5000, 0.5000], [0.5000, 0.0000, 0.0000], [0.0000, 0.0000, 0.5000], [0.2500, 0.3750, 0.6250], [0.2500, 0.8750, 0.1250], [0.0000, 0.5000, 0.5000], [0.8750, 0.2500, 0.6250], [0.6250, 0.7500, 0.8750], [0.8750, 0.6250, 0.7500], [0.7002, 0.1102, 0.0145], [0.3142, 0.5145, 0.4042], [0.9855, 0.3898, 0.2998], [0.5145, 0.2002, 0.1102], [0.5900, 0.7002, 0.6858], [0.9855, 0.5958, 0.1858], [0.3142, 0.7998, 0.4100], [0.0958, 0.9100, 0.1102], [0.5958, 0.9855, 0.6858], [0.7002, 0.5900, 0.1858], [0.7998, 0.4855, 0.3898], [0.8142, 0.9042, 0.0145], [0.1102, 0.7002, 0.5145], [0.3898, 0.4042, 0.0900], [0.0900, 0.9042, 0.3898], [0.4100, 0.1102, 0.5958], [0.0900, 0.1858, 0.2002], [0.4855, 0.6858, 0.0958], [0.8142, 0.9100, 0.2998], [0.1102, 0.4100, 0.0958], [0.3898, 0.9855, 0.7998], [0.5958, 0.6102, 0.4100], [0.9042, 0.8142, 0.5145], [0.7998, 0.3142, 0.9100], [0.4042, 0.3898, 0.5900], [0.0958, 0.1858, 0.4855], [0.2002, 0.6858, 0.0900], [0.1858, 0.0900, 0.7002], [0.6102, 0.0145, 0.2002], [0.8898, 0.5900, 0.9042], [0.5145, 0.3142, 0.9042], [0.5900, 0.8898, 0.4042], [0.9100, 0.8142, 0.7998], [0.9100, 0.0958, 0.6102], [0.8898, 0.2998, 0.4855], [0.1858, 0.0958, 0.9855], [0.6102, 0.5958, 0.9100], [0.4042, 0.0145, 0.3142], [0.2998, 0.4100, 0.8142], [0.2002, 0.5145, 0.6102], [0.9042, 0.0900, 0.8898], [0.6858, 0.2002, 0.5900], [0.4855, 0.7998, 0.8898], [0.0145, 0.4042, 0.8142], [0.4100, 0.2998, 0.3142], [0.0145, 0.6102, 0.7002], [0.6858, 0.4855, 0.5958], [0.2998, 0.8898, 0.9855]]}

***

{"formula": "CeGa5Pt2Rh", "functional": "PBE-GGA", "state": "relaxed", "formation_energy_ev_per_atom": -0.462, "volume_a3_per_cell": 187.2, "lattice": [[4.2985, 0.0000, 0.0000], [0.0000, 4.2985, 0.0000], [0.0000, 0.0000, 10.1296]], "species": ["Ce", "Ga", "Ga", "Ga", "Ga", "Ga", "Pt", "Pt", "Rh"], "fractional_positions": [[0.0000, 0.0000, 0.5000], [0.0000, 0.5000, 0.1405], [0.5000, 0.0000, 0.1405], [0.0000, 0.5000, 0.8595], [0.5000, 0.0000, 0.8595], [0.5000, 0.5000, 0.5000], [0.5000, 0.5000, 0.2677], [0.5000, 0.5000, 0.7323], [0.0000, 0.0000, 0.0000]]}

***

{"formula": "K2LiScCl6", "functional": "PBE-GGA", "state": "relaxed", "raw_formation_energy_mev_per_atom": -2022, "de_polymorph_mev_per_atom": 0.0, "volume_a3_per_cell": 513.4, "lattice": [[-0.4046, 5.8133, -4.0404], [-5.6080, -2.8307, -3.5113], [-6.2788, 4.1933, 6.6475]], "species": ["K", "K", "K", "K", "Li", "Li", "Sc", "Sc", "Cl", "Cl", "Cl", "Cl", "Cl", "Cl", "Cl", "Cl", "Cl", "Cl", "Cl", "Cl"], "fractional_positions": [[0.0104, 0.9564, 0.2505], [0.5104, 0.5436, 0.7505], [0.9896, 0.0436, 0.7495], [0.4896, 0.4564, 0.2495], [0.5000, 0.0000, 0.0000], [0.0000, 0.5000, 0.5000], [0.5000, 0.0000, 0.5000], [0.0000, 0.5000, 0.0000], [0.2810, 0.7070, 0.0307], [0.7810, 0.7930, 0.5307], [0.7190, 0.2930, 0.9693], [0.2190, 0.2070, 0.4693], [0.2942, 0.7195, 0.4704], [0.7942, 0.7805, 0.9704], [0.7058, 0.2805, 0.5296], [0.2058, 0.2195, 0.0296], [0.9412, 0.5082, 0.2455], [0.4412, 0.9918, 0.7455], [0.0588, 0.4918, 0.7545], [0.5588, 0.0081, 0.2545]]}

***

{"formula": "YNi2Mo", "functional": "PBE-GGA", "state": "relaxed", "formation_energy_ev_per_atom": -0.095, "de_polymorph_mev_per_atom": 0.0, "volume_a3_per_cell": 72.1, "lattice": [[-0.9854, -3.8850, 1.1060], [0.3296, -3.0941, -2.7579], [4.3303, -3.0848, 0.8423]], "species": ["Mo", "Ni", "Ni", "Y"], "fractional_positions": [[0.2500, 0.2500, 0.2500], [0.9487, 0.9487, 0.1540], [0.5513, 0.5513, 0.3460], [0.7500, 0.7500, 0.7500]]}

***

{"formula": "Cs2K4SiP2", "functional": "PBE-GGA", "state": "relaxed", "raw_formation_energy_mev_per_atom": -38, "volume_a3_per_cell": 551.6, "lattice": [[-7.2877, -5.0884, -0.4255], [-4.2926, -6.6086, 7.9431], [-8.7342, -0.1676, 6.9913]], "species": ["Cs", "Cs", "K", "K", "K", "K", "Si", "P", "P"], "fractional_positions": [[0.1294, 0.6532, 0.6532], [0.8706, 0.3468, 0.3468], [0.3367, 0.6502, 0.1281], [0.6633, 0.8719, 0.3498], [0.6633, 0.3498, 0.8719], [0.3367, 0.1281, 0.6502], [0.5000, 0.0000, 0.0000], [0.3219, 0.1303, 0.1303], [0.6781, 0.8697, 0.8697]]}

***

{"formula": "SmMgCoAg", "functional": "PBE-GGA", "state": "relaxed", "formation_energy_ev_per_atom": -0.015, "volume_a3_per_cell": 79.8, "lattice": [[4.8326, 0.0000, 0.0000], [2.4163, 4.1851, 0.0000], [2.4163, 1.3950, 3.9458]], "species": ["Mg", "Co", "Ag", "Sm"], "fractional_positions": [[0.0000, 0.0000, 0.0000], [0.7500, 0.7500, 0.7500], [0.2500, 0.2500, 0.2500], [0.5000, 0.5000, 0.5000]]}

***

{"formula": "NiTeRh2", "functional": "PBE-GGA", "state": "relaxed", "raw_formation_energy_mev_per_atom": 68, "volume_a3_per_cell": 61.1, "lattice": [[-1.4719, -2.4494, 3.9438], [1.3601, -4.6691, -0.2621], [2.2755, 4.2910, -0.3587]], "species": ["Ni", "Rh", "Rh", "Te"], "fractional_positions": [[0.7335, 0.2335, 0.5000], [0.9974, 0.9974, 0.0000], [0.2632, 0.7632, 0.5000], [0.5058, 0.5058, 0.0000]]}

***

{"formula": "YHgBr2", "functional": "PBE-GGA", "state": "relaxed", "raw_formation_energy_mev_per_atom": -809, "de_polymorph_mev_per_atom": 373.4, "volume_a3_per_cell": 104.3, "lattice": [[-1.9327, 2.3982, -4.6418], [-5.0744, 1.7614, 1.4768], [4.8440, 0.9411, 2.5852]], "species": ["Y", "Hg", "Br", "Br"], "fractional_positions": [[0.7500, 0.2500, 0.5000], [0.2500, 0.7500, 0.5000], [0.0000, 0.0000, 0.0000], [0.5000, 0.5000, 0.0000]]}

***

{"formula": "Sm2MgNpN4", "functional": "PBE-GGA", "state": "relaxed", "raw_formation_energy_mev_per_atom": -1188, "volume_a3_per_cell": 116.1, "lattice": [[-0.3170, -3.2708, 1.2288], [5.1459, -1.3805, -2.3468], [1.0063, 1.9817, 5.5343]], "species": ["Sm", "Sm", "Mg", "Np", "N", "N", "N", "N"], "fractional_positions": [[0.5000, 0.0000, 0.5000], [0.0000, 0.5000, 0.5000], [0.0000, 0.0000, 0.0000], [0.5000, 0.5000, 0.0000], [0.5000, 0.2672, 0.2268], [0.5000, 0.7328, 0.7732], [0.0000, 0.2568, 0.7704], [0.0000, 0.7432, 0.2296]]}

***

{"formula": "CsBa2SrAu", "functional": "PBE-GGA", "state": "relaxed", "formation_energy_ev_per_atom": -0.263, "de_polymorph_mev_per_atom": 0.0, "volume_a3_per_cell": 284.6, "lattice": [[6.6717, 0.0000, 0.0000], [0.0000, 6.6717, 0.0000], [0.0000, 0.0000, 6.3937]], "species": ["Cs", "Sr", "Au", "Ba", "Ba"], "fractional_positions": [[0.5000, 0.5000, 0.5000], [0.0000, 0.0000, 0.5000], [0.0000, 0.0000, 0.0000], [0.0000, 0.5000, 0.0000], [0.5000, 0.0000, 0.0000]]}

***

{"formula": "PuHgPd4", "functional": "PBE-GGA", "state": "relaxed", "formation_energy_ev_per_atom": -0.405, "volume_a3_per_cell": 111.1, "lattice": [[5.3956, 0.0000, 0.0000], [2.6978, 4.6727, 0.0000], [2.6978, 1.5576, 4.4055]], "species": ["Hg", "Pd", "Pd", "Pd", "Pd", "Pu"], "fractional_positions": [[0.0000, 0.0000, 0.0000], [0.6253, 0.6253, 0.1242], [0.6253, 0.1242, 0.6253], [0.6253, 0.6253, 0.6253], [0.1242, 0.6253, 0.6253], [0.2500, 0.2500, 0.2500]]}